# 1
LaTc2P after structural relaxation, computed with PBE.

Cell: 9.005 9.005 9.005 Å, 19.62 19.62 19.62°
Each line ends with the local moment (μB).
Atoms (fractional coordinates):
Tc (0.738, 0.738, 0.738)  -0.02
Tc (0.994, 0.994, 0.994)  -0.01
La (0.502, 0.502, 0.502)  0.18
P (0.267, 0.267, 0.267)  0.00

As for the space-group type: No. 160. For the raw total energy, the calculation gives -30.381 eV per formula unit. Its formation energy is 172 meV/atom.

=====

# 2
ErTm2V after structural relaxation, computed with PBE.

Cell: 3.550 3.550 8.404 Å, 90.00 90.00 90.00°
Each line ends with the local moment (μB).
Atoms (fractional coordinates):
Tm (0.000, 0.000, 0.202)  0.19
Tm (0.000, 0.000, 0.798)  0.19
Er (0.500, 0.500, 0.500)  0.04
V (0.500, 0.500, 0.000)  2.25

As for the space-group type: No. 123. For the raw total energy, the calculation gives -21.839 eV per formula unit. Its formation energy is 196 meV/atom.

=====

# 3
LiMgZn2Ga4 after structural relaxation, computed with PBE.

Cell: 3.867 3.867 10.011 Å, 90.00 90.00 90.00°
Atoms (fractional coordinates):
Ga (0.000, 0.500, 0.195)
Ga (0.500, 0.000, 0.805)
Ga (0.500, 0.000, 0.195)
Ga (0.000, 0.500, 0.805)
Zn (0.500, 0.500, 0.620)
Zn (0.500, 0.500, 0.380)
Mg (0.000, 0.000, 0.500)
Li (0.000, 0.000, 0.000)

As for the space-group type: No. 123. For the raw total energy, the calculation gives -18.482 eV per formula unit. Its formation energy is -40 meV/atom.

=====

# 4
InAg6Cl12 after structural relaxation, computed with PBE.

Cell: 8.386 8.386 8.386 Å, 80.88 80.88 80.88°
Atoms (fractional coordinates):
Cl (0.408, 0.180, 0.554)
Cl (0.950, 0.005, 0.307)
Cl (0.820, 0.446, 0.592)
Cl (0.446, 0.592, 0.820)
Cl (0.693, 0.050, 0.995)
Cl (0.592, 0.820, 0.446)
Cl (0.995, 0.693, 0.050)
Cl (0.050, 0.995, 0.693)
Cl (0.554, 0.408, 0.180)
Cl (0.307, 0.950, 0.005)
Cl (0.005, 0.307, 0.950)
Cl (0.180, 0.554, 0.408)
In (0.000, 0.000, 0.000)
Ag (0.401, 0.890, 0.706)
Ag (0.890, 0.706, 0.401)
Ag (0.294, 0.599, 0.110)
Ag (0.110, 0.294, 0.599)
Ag (0.706, 0.401, 0.890)
Ag (0.599, 0.110, 0.294)

The value obtained for the uncorrected formation energy is -0.537 eV/atom. As for the space-group type: No. 148. For the raw total energy, the calculation gives -52.217 eV per formula unit.

=====

# 5
Zr2RuSe after structural relaxation, computed with PBE.

Cell: 5.835 5.835 5.835 Å, 144.59 138.97 55.29°
Atoms (fractional coordinates):
Se (0.284, 0.784, 0.500)
Ru (0.492, 0.492, 0.000)
Zr (0.995, 0.995, 0.000)
Zr (0.729, 0.229, 0.500)

The value obtained for the uncorrected formation energy is -0.578 eV/atom. As for the space-group type: No. 44. For the raw total energy, the calculation gives -32.168 eV per formula unit.

=====

# 6
RbNa2PaSe4 after structural relaxation, computed with PBE.

Cell: 7.808 7.149 7.149 Å, 66.19 56.89 56.89°
Atoms (fractional coordinates):
Na (0.750, 0.750, 0.750)
Na (0.250, 0.250, 0.250)
Se (0.545, 0.455, 0.861)
Se (0.455, 0.139, 0.545)
Se (0.861, 0.545, 0.139)
Se (0.139, 0.861, 0.455)
Rb (0.000, 0.000, 0.000)
Pa (0.500, 0.500, 0.500)

The value obtained for the uncorrected formation energy is -1.139 eV/atom. As for the space-group type: No. 121. For the raw total energy, the calculation gives -36.153 eV per formula unit.

=====

# 7
Th2TiAg after structural relaxation, computed with PBE.

Cell: 3.379 3.379 9.034 Å, 90.00 90.00 90.00°
Atoms (fractional coordinates):
Ti (0.500, 0.500, 0.000)
Th (0.000, 0.000, 0.756)
Th (0.000, 0.000, 0.244)
Ag (0.500, 0.500, 0.500)

As for the space-group type: No. 123. For the raw total energy, the calculation gives -25.190 eV per formula unit. Its formation energy is 99 meV/atom.

=====

# 8
BeP2Os after structural relaxation, computed with PBE.

Cell: 3.055 4.183 3.924 Å, 90.00 90.00 90.00°
Atoms (fractional coordinates):
P (0.500, 0.500, 0.000)
P (0.000, 0.000, 0.000)
Be (0.500, 0.000, 0.500)
Os (0.000, 0.500, 0.500)

As for the space-group type: No. 47. For the raw total energy, the calculation gives -23.878 eV per formula unit. Its formation energy is 475 meV/atom.

=====

# 9
LiSiRu after structural relaxation, computed with PBE.

Cell: 3.941 3.941 3.941 Å, 60.00 60.00 60.00°
Atoms (fractional coordinates):
Li (0.000, 0.000, 0.000)
Ru (0.500, 0.500, 0.500)
Si (0.750, 0.750, 0.750)

The value obtained for the uncorrected formation energy is -0.236 eV/atom. As for the space-group type: No. 216. For the raw total energy, the calculation gives -17.320 eV per formula unit.

=====

# 10
Nd5Mg2Ge4 after structural relaxation, computed with PBE.

Cell: 4.255 7.261 10.624 Å, 109.78 101.55 90.00°
Each line ends with the local moment (μB).
Atoms (fractional coordinates):
Nd (0.836, 0.603, 0.673)  0.05
Nd (0.164, 0.933, 0.328)  0.05
Nd (0.164, 0.397, 0.327)  0.05
Nd (0.500, 0.000, 0.000)  0.06
Nd (0.836, 0.067, 0.672)  0.05
Mg (0.428, 0.425, 0.856)  0.00
Mg (0.572, 0.575, 0.144)  0.00
Ge (0.292, 0.292, 0.584)  0.00
Ge (0.708, 0.708, 0.416)  0.00
Ge (0.000, 0.693, 0.000)  0.00
Ge (0.000, 0.307, 0.000)  0.00

As for the space-group type: No. 12. For the raw total energy, the calculation gives -50.611 eV per formula unit. Its formation energy is -465 meV/atom.

=====

# 11
BaHfN2F after structural relaxation, computed with PBE.

Cell: 4.618 4.618 4.603 Å, 90.00 90.00 90.00°
Each line ends with the local moment (μB).
Atoms (fractional coordinates):
N (0.000, 0.500, 0.000)  -0.07
N (0.500, 0.000, 0.000)  -0.07
Ba (0.000, 0.000, 0.000)  0.01
Hf (0.500, 0.500, 0.500)  0.68
F (0.000, 0.000, 0.500)  0.01

The value obtained for the uncorrected formation energy is 0.886 eV/atom. As for the space-group type: No. 123. For the raw total energy, the calculation gives -25.966 eV per formula unit.

=====

# 12
InTc2BiC after structural relaxation, computed with PBE.

Cell: 4.230 4.962 4.230 Å, 90.00 90.00 90.00°
Each line ends with the local moment (μB).
Atoms (fractional coordinates):
In (0.500, 0.500, 0.500)  -0.02
C (0.000, 0.000, 0.000)  -0.03
Tc (0.500, 0.000, 0.000)  0.63
Tc (0.000, 0.000, 0.500)  0.80
Bi (0.000, 0.500, 0.000)  -0.01

As for the space-group type: No. 123. For the raw total energy, the calculation gives -32.465 eV per formula unit. Its formation energy is 822 meV/atom.

=====

Q: Among the records above, which one has the highest raw total energy?
A: LiSiRu

=====

Copy entry 3 word for word.
LiMgZn2Ga4 after structural relaxation, computed with PBE.

Cell: 3.867 3.867 10.011 Å, 90.00 90.00 90.00°
Atoms (fractional coordinates):
Ga (0.000, 0.500, 0.195)
Ga (0.500, 0.000, 0.805)
Ga (0.500, 0.000, 0.195)
Ga (0.000, 0.500, 0.805)
Zn (0.500, 0.500, 0.620)
Zn (0.500, 0.500, 0.380)
Mg (0.000, 0.000, 0.500)
Li (0.000, 0.000, 0.000)

As for the space-group type: No. 123. For the raw total energy, the calculation gives -18.482 eV per formula unit. Its formation energy is -40 meV/atom.

=====

Q: Which formula does entry 10 have?
A: Nd5Mg2Ge4